Entry 1:
A plane-wave DFT calculation with PBE was carried out for crystalline Rb2TeI4Cl2 at its relaxed geometry.

Structure (extended XYZ):
```
9
Lattice="8.260 1.296 0.882 3.168 7.466 0.054 3.168 2.792 6.924" Properties=species:S:1:pos:R:3 pbc="T T T"
I 9.276 5.225 6.050
I 5.319 6.328 1.810
I 5.319 4.007 5.221
I 9.276 7.546 2.639
Rb 8.073 3.570 2.429
Rb 6.522 7.983 5.431
Cl 11.416 8.927 6.073
Cl 3.179 2.627 1.787
Te 4.130 0.648 0.441
```

Properties
The value obtained for the total magnetization is 0.00 μB/f.u.

=====

Entry 2:
A plane-wave DFT calculation with PBE was carried out for crystalline Rb2ThI5Cl at its relaxed geometry.

Structure (extended XYZ):
```
9
Lattice="8.436 0.041 0.059 -3.970 7.444 -0.059 -3.970 -2.706 6.935" Properties=species:S:1:pos:R:3 pbc="T T T"
Cl -6.070 3.622 5.257
I 2.243 1.206 1.750
I -3.965 -0.164 5.178
I -1.738 3.568 5.178
I -2.054 1.226 1.779
I -3.965 4.897 1.690
Rb 0.304 4.893 1.670
Rb 0.304 -0.182 5.167
Th -7.884 4.704 6.827
```

Properties
The value obtained for the total magnetization is 0.00 μB/f.u.

=====

Entry 3:
A plane-wave DFT calculation with PBE was carried out for crystalline Rb2ThI4Cl2 at its relaxed geometry.

Structure (extended XYZ):
```
9
Lattice="6.904 -0.092 -0.063 1.421 7.992 0.202 1.421 3.123 7.360" Properties=species:S:1:pos:R:3 pbc="T T T"
I 6.568 7.791 2.761
I 6.568 5.429 6.233
I 3.177 5.594 1.267
I 3.177 3.232 4.738
Cl 1.832 1.691 1.151
Cl 7.914 9.332 6.349
Rb 3.403 7.385 5.024
Rb 6.342 3.638 2.475
Th 3.452 -0.046 -0.031
```

Properties
The value obtained for the total magnetization is 0.00 μB/f.u.

=====

Entry 4:
A plane-wave DFT calculation with PBE was carried out for crystalline Rb2TiI4Cl2 at its relaxed geometry.

Structure (extended XYZ):
```
9
Lattice="6.655 -0.277 -0.188 1.145 7.618 0.282 1.145 3.060 6.983" Properties=species:S:1:pos:R:3 pbc="T T T"
Ti 3.327 -0.138 -0.094
I 6.053 5.021 5.912
I 2.892 5.380 1.165
I 6.053 7.342 2.500
I 2.892 3.059 4.577
Cl 1.944 1.396 0.950
Cl 7.001 9.005 6.126
Rb 2.978 6.991 4.756
Rb 5.967 3.411 2.320
```

Properties
The value obtained for the total magnetization is 0.00 μB/f.u.

=====

Entry 5:
A plane-wave DFT calculation with PBE was carried out for crystalline Rb2TiI6Cl at its relaxed geometry.

Structure (extended XYZ):
```
10
Lattice="-1.222 -3.803 -7.967 -3.118 -7.338 3.981 -7.433 -3.446 -2.199" Properties=species:S:1:pos:R:3 pbc="T T T"
Rb -5.412 -6.410 -6.080
Rb -6.361 -8.178 -0.106
Cl -2.170 -5.571 -1.993
I -4.809 -4.505 -2.096
I -2.705 -6.567 1.375
I -3.394 -8.711 -3.116
I -6.964 -10.082 -4.089
I -1.636 -4.574 -5.361
I -0.947 -2.430 -0.869
Ti 0.000 0.000 0.000
```

Properties
The value obtained for the total magnetization is 0.00 μB/f.u.

=====

Entry 6:
A plane-wave DFT calculation with PBE was carried out for crystalline Rb2TiI2Cl4 at its relaxed geometry.

Structure (extended XYZ):
```
9
Lattice="7.640 -0.077 -0.112 -3.735 6.665 0.112 -3.735 -2.237 6.280" Properties=species:S:1:pos:R:3 pbc="T T T"
Ti 0.000 0.000 0.000
Cl -3.735 4.738 1.447
Cl 1.691 0.925 1.336
Cl -3.735 -0.309 4.944
Cl -1.522 3.425 4.944
I -1.951 1.156 1.669
I -5.520 3.272 4.722
Rb 0.085 4.401 1.598
Rb 0.085 -0.050 4.682
```

Properties
The value obtained for the total magnetization is 0.00 μB/f.u.

=====

Entry 7:
A plane-wave DFT calculation with PBE was carried out for crystalline RbTiICl4 at its relaxed geometry.

Structure (extended XYZ):
```
14
Lattice="8.552 1.359 0.188 4.115 7.619 0.188 2.905 2.059 9.414" Properties=species:S:1:pos:R:3 pbc="T T T"
Cl 4.134 2.930 4.679
Cl 11.352 5.704 8.176
Cl 6.429 2.215 1.615
Cl 8.903 6.310 6.067
Cl 11.438 8.107 5.112
Cl 6.669 4.727 3.724
Cl 4.220 5.333 1.615
Cl 9.142 8.822 8.176
I 12.717 9.013 8.244
I 2.855 2.023 1.547
Rb 6.283 4.453 7.171
Rb 9.289 6.584 2.619
Ti 10.603 7.515 7.111
Ti 4.969 3.522 2.680
```

Properties
The value obtained for the total magnetization is 0.00 μB/f.u.

=====

Entry 8:
A plane-wave DFT calculation with PBE was carried out for crystalline Rb2TlICl4 at its relaxed geometry.

Structure (extended XYZ):
```
16
Lattice="9.784 -1.160 0.141 -1.167 9.783 0.141 -4.116 -4.119 6.865" Properties=species:S:1:pos:R:3 pbc="T T T"
Cl 6.474 7.194 0.538
Cl 0.823 0.108 3.830
Cl 6.612 2.072 0.345
Cl -1.973 -2.690 6.609
Cl 3.678 4.396 3.317
Cl 5.485 -0.918 3.778
Cl -2.111 2.432 6.802
Cl -0.984 5.422 3.369
Rb 4.308 4.311 0.141
Rb 4.892 -0.580 0.070
Rb 2.834 -2.640 3.503
Rb -2.058 -2.059 3.433
I 2.250 2.252 3.574
I 5.668 -5.279 7.006
Tl 7.142 1.672 3.644
Tl -0.584 4.892 0.070
```

Properties
The value obtained for the total magnetization is 0.00 μB/f.u.

=====

Entry 9:
A plane-wave DFT calculation with PBE was carried out for crystalline Rb2TlICl6 at its relaxed geometry.

Structure (extended XYZ):
```
10
Lattice="7.693 0.000 0.000 0.000 7.693 0.000 3.846 3.846 6.608" Properties=species:S:1:pos:R:3 pbc="T T T"
I 3.846 3.846 0.000
Cl 2.042 2.042 0.000
Cl 5.651 5.651 0.000
Cl 3.846 3.846 3.649
Cl 5.651 2.042 0.000
Cl 2.042 5.651 0.000
Cl 7.693 7.693 2.958
Tl 0.000 0.000 0.000
Rb 3.846 7.693 3.304
Rb 7.693 3.846 3.304
```

Properties
The value obtained for the total magnetization is 0.00 μB/f.u.

=====

Entry 10:
A plane-wave DFT calculation with PBE was carried out for crystalline RbTlI2Cl at its relaxed geometry.

Structure (extended XYZ):
```
5
Lattice="-3.668 4.904 -1.082 0.638 -0.874 -6.124 -4.515 -3.374 0.011" Properties=species:S:1:pos:R:3 pbc="T T T"
Cl -2.257 -1.687 0.005
Tl 0.000 0.000 0.000
I -1.834 2.452 -0.541
I 0.319 -0.437 -3.062
Rb -3.772 0.329 -3.598
```

Properties
The value obtained for the total magnetization is 0.00 μB/f.u.

=====

Entry 11:
A plane-wave DFT calculation with PBE was carried out for crystalline Rb2TlI6Cl at its relaxed geometry.

Structure (extended XYZ):
```
10
Lattice="-8.339 -0.791 0.295 0.815 -8.308 0.760 -3.590 -3.939 7.019" Properties=species:S:1:pos:R:3 pbc="T T T"
I -7.444 -8.814 4.088
I -5.629 -6.807 0.789
I -6.034 -2.685 0.412
I -3.671 -4.224 3.986
I -1.490 -6.415 0.643
I -1.895 -2.292 0.266
Tl 0.000 0.000 0.000
Cl -3.762 -4.550 0.527
Rb -7.846 -4.640 3.921
Rb -3.269 -8.398 4.153
```

Properties
The value obtained for the total magnetization is 0.00 μB/f.u.

=====

Entry 12:
A plane-wave DFT calculation with PBE was carried out for crystalline Rb2Tl4I3Cl2 at its relaxed geometry.

Structure (extended XYZ):
```
11
Lattice="-0.334 5.101 3.391 1.428 -3.237 5.011 12.453 1.387 -6.408" Properties=species:S:1:pos:R:3 pbc="T T T"
I 4.466 0.796 -0.758
I 0.000 0.000 0.000
I 9.081 2.454 2.752
Tl 11.020 4.546 -0.204
Tl 1.646 2.874 1.388
Tl 11.901 0.376 0.606
Tl 2.527 -1.295 2.198
Cl 11.022 1.966 -1.871
Cl 2.526 1.285 3.865
Rb 5.576 1.829 3.347
Rb 7.971 1.422 -1.353
```

Properties
The value obtained for the total magnetization is 0.00 μB/f.u.

=====

Entry 13:
A plane-wave DFT calculation with PBE was carried out for crystalline Rb2UI4Cl2 at its relaxed geometry.

Structure (extended XYZ):
```
9
Lattice="6.820 -0.172 -0.117 1.303 7.883 0.186 1.303 3.067 7.264" Properties=species:S:1:pos:R:3 pbc="T T T"
Cl 7.598 9.185 6.249
Cl 1.828 1.594 1.084
Rb 6.216 3.563 2.424
Rb 3.209 7.215 4.909
U 3.410 -0.086 -0.058
I 6.393 5.284 6.132
I 3.032 3.134 4.669
I 6.393 7.644 2.664
I 3.032 5.494 1.201
```

Properties
The value obtained for the total magnetization is 2.00 μB/f.u.

=====

Entry 14:
A plane-wave DFT calculation with PBE was carried out for crystalline Rb2UI5Cl at its relaxed geometry.

Structure (extended XYZ):
```
9
Lattice="-2.932 4.409 -6.444 1.364 -8.147 -1.151 -5.059 -1.209 6.519" Properties=species:S:1:pos:R:3 pbc="T T T"
I -0.231 -6.407 0.752
I -4.243 -4.801 0.790
I -2.375 -0.122 -1.879
I -0.942 -2.384 1.368
I -3.455 -2.924 4.602
Rb -1.689 -4.160 -2.483
Rb -4.900 -0.691 1.352
Cl -2.838 -7.185 4.122
U -3.669 -9.288 5.329
```

Properties
The value obtained for the total magnetization is 2.00 μB/f.u.

=====

Entry 15:
A plane-wave DFT calculation with PBE was carried out for crystalline Rb3UI2Cl6 at its relaxed geometry.

Structure (extended XYZ):
```
12
Lattice="-4.831 3.250 -0.862 -4.972 -7.820 -1.617 0.389 3.416 9.645" Properties=species:S:1:pos:R:3 pbc="T T T"
Rb -2.486 -3.910 -0.809
Rb -4.707 -0.577 3.583
Rb -2.221 3.333 4.392
Cl -4.754 0.784 0.145
Cl -7.742 -1.848 5.377
Cl -1.629 2.829 8.007
Cl -1.672 0.693 1.789
Cl -7.785 -3.983 -0.841
Cl -4.660 -1.938 7.021
I -3.525 -3.959 2.621
I -5.889 2.805 4.545
U -2.416 1.625 -0.431
```

Properties
The value obtained for the total magnetization is 0.96 μB/f.u.

=====

Entry 16:
A plane-wave DFT calculation with PBE was carried out for crystalline Rb2UI2Cl4 at its relaxed geometry.

Structure (extended XYZ):
```
9
Lattice="-5.027 0.689 -6.254 3.508 -6.997 1.893 -2.619 0.213 7.612" Properties=species:S:1:pos:R:3 pbc="T T T"
I 0.656 -5.010 7.019
I 0.233 -1.775 2.486
Cl -1.179 -1.481 6.268
Cl 2.068 -5.303 3.237
Cl -1.984 -4.825 3.957
Cl -2.153 -1.270 -0.705
U 0.000 0.000 0.000
Rb -0.537 -4.850 0.196
Rb -3.601 -1.245 3.056
```

Properties
The value obtained for the total magnetization is 2.00 μB/f.u.

=====

Entry 17:
A plane-wave DFT calculation with PBE was carried out for crystalline Rb2UI3Cl3 at its relaxed geometry.

Structure (extended XYZ):
```
9
Lattice="-2.319 -1.904 3.127 7.038 1.069 5.870 -6.421 6.584 -0.753" Properties=species:S:1:pos:R:3 pbc="T T T"
Cl -1.035 0.596 2.599
Cl 4.455 -0.099 6.246
Cl -6.281 4.300 0.963
U 0.000 0.000 0.000
I 2.520 0.383 2.102
I -2.299 2.357 -0.270
I 0.396 4.913 3.285
Rb -3.094 3.794 3.018
Rb 1.392 1.956 5.226
```

Properties
The value obtained for the total magnetization is 2.00 μB/f.u.

=====

Entry 18:
A plane-wave DFT calculation with PBE was carried out for crystalline Rb2VI4Cl2 at its relaxed geometry.

Structure (extended XYZ):
```
9
Lattice="-6.372 0.932 1.575 -0.755 -7.067 -2.965 1.351 -5.842 4.832" Properties=species:S:1:pos:R:3 pbc="T T T"
I -3.870 -6.782 4.325
I -0.817 -4.561 3.151
I -1.907 -5.195 -0.883
I -4.960 -7.416 0.291
Rb -4.314 -3.860 1.772
Rb -1.462 -8.117 1.670
Cl -3.894 -10.615 2.719
Cl -1.883 -1.362 0.723
V -3.186 0.466 0.787
```

Properties
The value obtained for the total magnetization is 0.98 μB/f.u.

=====

Entry 19:
A plane-wave DFT calculation with PBE was carried out for crystalline RbVI2Cl at its relaxed geometry.

Structure (extended XYZ):
```
5
Lattice="-5.641 0.927 1.067 -1.397 -3.000 -4.782 -0.181 -4.179 2.675" Properties=species:S:1:pos:R:3 pbc="T T T"
I -2.821 0.464 0.533
I -0.699 -1.500 -2.391
V 0.000 0.000 0.000
Rb -3.610 -3.126 -0.520
Cl -0.090 -2.090 1.338
```

Properties
The value obtained for the total magnetization is 3.00 μB/f.u.

=====

Entry 20:
A plane-wave DFT calculation with PBE was carried out for crystalline Rb2VI6Cl at its relaxed geometry.

Structure (extended XYZ):
```
10
Lattice="-6.632 -5.036 -0.121 2.042 -2.506 -7.676 1.143 -8.356 -1.487" Properties=species:S:1:pos:R:3 pbc="T T T"
V 0.000 0.000 0.000
Rb 0.445 -7.316 -6.530
Rb -3.892 -8.582 -2.753
I -4.618 -4.449 -1.875
I -3.524 -5.791 -5.986
I -3.091 -9.542 -6.745
I -1.066 -1.751 -1.810
I 0.028 -3.093 -5.921
I -0.357 -6.356 -2.539
Cl -2.295 -3.771 -3.898
```

Properties
The value obtained for the total magnetization is 0.71 μB/f.u.

=====

no.,formation energy from raw total energies (eV per atom)
1,-0.9243
2,-1.4865
3,-1.6194
4,-1.2850
5,-0.8757
6,-1.5496
7,-1.5422
8,-1.2256
9,-0.9944
10,-0.9335
11,-0.5969
12,-0.8711
13,-1.3911
14,-1.2621
15,-1.6526
16,-1.6342
17,-1.4248
18,-1.0686
19,-0.9560
20,-0.6808